[1]
# CeZnGe2, relaxed, DFT PBE
# - D(E_F): 1.57 states/eV per atom
# - Energy of formation from the pure elements: 232 meV/atom
# - Spin magnetization: 0.263 μB/atom
# - Space group: R-3m
data_CeZnGe2
_cell_length_a 4.8936
_cell_length_b 4.8936
_cell_length_c 19.2846
_cell_angle_alpha 90.00
_cell_angle_beta 90.00
_cell_angle_gamma 120.00
_space_group_name_H-M_alt 'P 1'
_space_group_IT_number 1
_space_group_name_Hall 'P 1'
loop_
_atom_site_label
_atom_site_type_symbol
_atom_site_fract_x
_atom_site_fract_y
_atom_site_fract_z
_atom_site_occupancy
Ce1 Ce 0.0000 0.0000 0.0000 1
Ce2 Ce 0.3333 0.6667 0.6667 1
Ce3 Ce 0.6667 0.3333 0.3333 1
Zn1 Zn 0.0000 0.0000 0.5000 1
Zn2 Zn 0.3333 0.6667 0.1667 1
Zn3 Zn 0.6667 0.3333 0.8333 1
Ge1 Ge 0.0000 0.0000 0.3749 1
Ge2 Ge 0.0000 0.0000 0.6251 1
Ge3 Ge 0.3333 0.6667 0.0415 1
Ge4 Ge 0.3333 0.6667 0.2918 1
Ge5 Ge 0.6667 0.3333 0.7082 1
Ge6 Ge 0.6667 0.3333 0.9585 1

[2]
# LiNiAs2, relaxed, DFT PBE
# - Excess energy over the best structure of this formula in the dataset: 154.7 meV/atom
# - D(E_F): 0.32 states/eV per atom
# - Energy of formation from the pure elements: -181 meV/atom
# - Spin magnetization: 0.000 μB/atom
# - Space group: P4/mmm
data_LiNiAs2
_cell_length_a 4.0422
_cell_length_b 4.0422
_cell_length_c 3.5846
_cell_angle_alpha 90.00
_cell_angle_beta 90.00
_cell_angle_gamma 90.00
_space_group_name_H-M_alt 'P 1'
_space_group_IT_number 1
_space_group_name_Hall 'P 1'
loop_
_atom_site_label
_atom_site_type_symbol
_atom_site_fract_x
_atom_site_fract_y
_atom_site_fract_z
_atom_site_occupancy
Li1 Li 0.0000 0.0000 0.0000 1
Ni1 Ni 0.5000 0.5000 0.0000 1
As1 As 0.0000 0.5000 0.5000 1
As2 As 0.5000 0.0000 0.5000 1

[3]
# Fe4OsSe, relaxed, DFT PBE
# - D(E_F): 1.29 states/eV per atom
# - Calculated total energy: -7.59 eV per atom
# - Spin magnetization: 1.846 μB/atom
# - Space group: F-43m
data_Fe4OsSe
_cell_length_a 4.8408
_cell_length_b 4.8408
_cell_length_c 4.8408
_cell_angle_alpha 60.00
_cell_angle_beta 60.00
_cell_angle_gamma 60.00
_space_group_name_H-M_alt 'P 1'
_space_group_IT_number 1
_space_group_name_Hall 'P 1'
loop_
_atom_site_label
_atom_site_type_symbol
_atom_site_fract_x
_atom_site_fract_y
_atom_site_fract_z
_atom_site_occupancy
Fe1 Fe 0.1243 0.1243 0.1243 1
Fe2 Fe 0.1243 0.1243 0.6270 1
Fe3 Fe 0.1243 0.6270 0.1243 1
Fe4 Fe 0.6270 0.1243 0.1243 1
Os1 Os 0.7500 0.7500 0.7500 1
Se1 Se 0.5000 0.5000 0.5000 1

[4]
# LiNdCo, relaxed, DFT PBE
# - Excess energy over the best structure of this formula in the dataset: 77.2 meV/atom
# - D(E_F): 0.97 states/eV per atom
# - Energy of formation from the pure elements: 54 meV/atom
# - Spin magnetization: 0.223 μB/atom
# - Space group: C2/m
data_LiNdCo
_cell_length_a 12.9147
_cell_length_b 3.8988
_cell_length_c 5.2206
_cell_angle_alpha 90.00
_cell_angle_beta 98.94
_cell_angle_gamma 90.00
_space_group_name_H-M_alt 'P 1'
_space_group_IT_number 1
_space_group_name_Hall 'P 1'
loop_
_atom_site_label
_atom_site_type_symbol
_atom_site_fract_x
_atom_site_fract_y
_atom_site_fract_z
_atom_site_occupancy
Li1 Li 0.0893 0.0000 0.3207 1
Li2 Li 0.4107 0.5000 0.6793 1
Li3 Li 0.5893 0.5000 0.3207 1
Li4 Li 0.9107 0.0000 0.6793 1
Nd1 Nd 0.1344 0.5000 0.8487 1
Nd2 Nd 0.3656 0.0000 0.1513 1
Nd3 Nd 0.6344 0.0000 0.8487 1
Nd4 Nd 0.8656 0.5000 0.1513 1
Co1 Co 0.2368 0.5000 0.3933 1
Co2 Co 0.2632 0.0000 0.6067 1
Co3 Co 0.7368 0.0000 0.3933 1
Co4 Co 0.7632 0.5000 0.6067 1

[5]
# Zr4Tl3Zn, relaxed, DFT PBE
# - D(E_F): 0.68 states/eV per atom
# - Energy of formation from the pure elements: -35 meV/atom
# - Spin magnetization: 0.000 μB/atom
# - Space group: C2/m
data_Zr4Tl3Zn
_cell_length_a 13.5979
_cell_length_b 5.3094
_cell_length_c 5.3095
_cell_angle_alpha 90.00
_cell_angle_beta 112.87
_cell_angle_gamma 90.00
_space_group_name_H-M_alt 'P 1'
_space_group_IT_number 1
_space_group_name_Hall 'P 1'
loop_
_atom_site_label
_atom_site_type_symbol
_atom_site_fract_x
_atom_site_fract_y
_atom_site_fract_z
_atom_site_occupancy
Zr1 Zr 0.1224 0.0000 0.1222 1
Zr2 Zr 0.1224 0.5000 0.6221 1
Zr3 Zr 0.3776 0.0000 0.3779 1
Zr4 Zr 0.3776 0.5000 0.8778 1
Zr5 Zr 0.6224 0.0000 0.6221 1
Zr6 Zr 0.6224 0.5000 0.1222 1
Zr7 Zr 0.8776 0.0000 0.8778 1
Zr8 Zr 0.8776 0.5000 0.3779 1
Tl1 Tl 0.0000 0.0000 0.5000 1
Tl2 Tl 0.2432 0.5000 0.2431 1
Tl3 Tl 0.2568 0.0000 0.7569 1
Tl4 Tl 0.5000 0.5000 0.5000 1
Tl5 Tl 0.7432 0.0000 0.2431 1
Tl6 Tl 0.7568 0.5000 0.7569 1
Zn1 Zn 0.0000 0.5000 0.0000 1
Zn2 Zn 0.5000 0.0000 0.0000 1

[6]
# SmEuTlPd, relaxed, DFT PBE
# - D(E_F): 2.34 states/eV per atom
# - Energy of formation from the pure elements: -464 meV/atom
# - Spin magnetization: 1.759 μB/atom
# - Space group: F-43m
data_SmEuTlPd
_cell_length_a 7.5258
_cell_length_b 7.5258
_cell_length_c 7.5258
_cell_angle_alpha 90.00
_cell_angle_beta 90.00
_cell_angle_gamma 90.00
_space_group_name_H-M_alt 'P 1'
_space_group_IT_number 1
_space_group_name_Hall 'P 1'
loop_
_atom_site_label
_atom_site_type_symbol
_atom_site_fract_x
_atom_site_fract_y
_atom_site_fract_z
_atom_site_occupancy
Sm1 Sm 0.0000 0.0000 0.0000 1
Sm2 Sm 0.0000 0.5000 0.5000 1
Sm3 Sm 0.5000 0.0000 0.5000 1
Sm4 Sm 0.5000 0.5000 0.0000 1
Eu1 Eu 0.0000 0.0000 0.5000 1
Eu2 Eu 0.0000 0.5000 0.0000 1
Eu3 Eu 0.5000 0.0000 0.0000 1
Eu4 Eu 0.5000 0.5000 0.5000 1
Tl1 Tl 0.2500 0.2500 0.7500 1
Tl2 Tl 0.2500 0.7500 0.2500 1
Tl3 Tl 0.7500 0.2500 0.2500 1
Tl4 Tl 0.7500 0.7500 0.7500 1
Pd1 Pd 0.2500 0.2500 0.2500 1
Pd2 Pd 0.2500 0.7500 0.7500 1
Pd3 Pd 0.7500 0.2500 0.7500 1
Pd4 Pd 0.7500 0.7500 0.2500 1

[7]
# YZrPb, relaxed, DFT PBE
# - Excess energy over the best structure of this formula in the dataset: 481.8 meV/atom
# - D(E_F): 1.20 states/eV per atom
# - Energy of formation from the pure elements: 54 meV/atom
# - Spin magnetization: 0.000 μB/atom
# - Space group: F-43m
data_YZrPb
_cell_length_a 7.0904
_cell_length_b 7.0904
_cell_length_c 7.0904
_cell_angle_alpha 90.00
_cell_angle_beta 90.00
_cell_angle_gamma 90.00
_space_group_name_H-M_alt 'P 1'
_space_group_IT_number 1
_space_group_name_Hall 'P 1'
loop_
_atom_site_label
_atom_site_type_symbol
_atom_site_fract_x
_atom_site_fract_y
_atom_site_fract_z
_atom_site_occupancy
Y1 Y 0.0000 0.0000 0.0000 1
Y2 Y 0.0000 0.5000 0.5000 1
Y3 Y 0.5000 0.0000 0.5000 1
Y4 Y 0.5000 0.5000 0.0000 1
Zr1 Zr 0.0000 0.0000 0.5000 1
Zr2 Zr 0.0000 0.5000 0.0000 1
Zr3 Zr 0.5000 0.0000 0.0000 1
Zr4 Zr 0.5000 0.5000 0.5000 1
Pb1 Pb 0.2500 0.2500 0.7500 1
Pb2 Pb 0.2500 0.7500 0.2500 1
Pb3 Pb 0.7500 0.2500 0.2500 1
Pb4 Pb 0.7500 0.7500 0.7500 1

[8]
# Nd3Sm8Cd, relaxed, DFT PBE
# - D(E_F): 1.54 states/eV per atom
# - Energy of formation from the pure elements: 474 meV/atom
# - Spin magnetization: 0.000 μB/atom
# - Space group: I-42m
data_Nd3Sm8Cd
_cell_length_a 8.4078
_cell_length_b 8.4078
_cell_length_c 8.4078
_cell_angle_alpha 117.54
_cell_angle_beta 117.54
_cell_angle_gamma 94.31
_space_group_name_H-M_alt 'P 1'
_space_group_IT_number 1
_space_group_name_Hall 'P 1'
loop_
_atom_site_label
_atom_site_type_symbol
_atom_site_fract_x
_atom_site_fract_y
_atom_site_fract_z
_atom_site_occupancy
Nd1 Nd 0.0000 0.0000 0.0000 1
Nd2 Nd 0.2500 0.7500 0.5000 1
Nd3 Nd 0.7500 0.2500 0.5000 1
Sm1 Sm 0.1237 0.1237 0.7475 1
Sm2 Sm 0.2474 0.2474 0.5045 1
Sm3 Sm 0.2571 0.7526 0.0000 1
Sm4 Sm 0.3762 0.3762 0.2525 1
Sm5 Sm 0.6238 0.8763 0.0000 1
Sm6 Sm 0.7429 0.7429 0.4955 1
Sm7 Sm 0.7526 0.2571 0.0000 1
Sm8 Sm 0.8763 0.6238 0.0000 1
Cd1 Cd 0.5000 0.5000 0.0000 1

[9]
# MgCoP2, relaxed, DFT PBE
# - D(E_F): 0.65 states/eV per atom
# - Energy of formation from the pure elements: 35 meV/atom
# - Spin magnetization: 0.000 μB/atom
# - Space group: C2/m
data_MgCoP2
_cell_length_a 5.2201
_cell_length_b 6.7108
_cell_length_c 3.1248
_cell_angle_alpha 90.00
_cell_angle_beta 90.29
_cell_angle_gamma 90.00
_space_group_name_H-M_alt 'P 1'
_space_group_IT_number 1
_space_group_name_Hall 'P 1'
loop_
_atom_site_label
_atom_site_type_symbol
_atom_site_fract_x
_atom_site_fract_y
_atom_site_fract_z
_atom_site_occupancy
Mg1 Mg 0.0000 0.0000 0.0000 1
Mg2 Mg 0.5000 0.5000 0.0000 1
Co1 Co 0.0000 0.5000 0.0000 1
Co2 Co 0.5000 0.0000 0.0000 1
P1 P 0.2500 0.2500 0.5000 1
P2 P 0.2500 0.7500 0.5000 1
P3 P 0.7500 0.2500 0.5000 1
P4 P 0.7500 0.7500 0.5000 1

[10]
# RbNa4Tl2, relaxed, DFT PBE
# - D(E_F): 0.38 states/eV per atom
# - Energy of formation from the pure elements: -47 meV/atom
# - Spin magnetization: 0.000 μB/atom
# - Space group: C2/m
data_RbNa4Tl2
_cell_length_a 10.5996
_cell_length_b 8.5988
_cell_length_c 6.7348
_cell_angle_alpha 90.00
_cell_angle_beta 127.04
_cell_angle_gamma 90.00
_space_group_name_H-M_alt 'P 1'
_space_group_IT_number 1
_space_group_name_Hall 'P 1'
loop_
_atom_site_label
_atom_site_type_symbol
_atom_site_fract_x
_atom_site_fract_y
_atom_site_fract_z
_atom_site_occupancy
Rb1 Rb 0.0000 0.0000 0.0000 1
Rb2 Rb 0.5000 0.5000 0.0000 1
Na1 Na 0.2020 0.1994 0.7010 1
Na2 Na 0.2020 0.8006 0.7010 1
Na3 Na 0.2980 0.3006 0.2990 1
Na4 Na 0.2980 0.6994 0.2990 1
Na5 Na 0.7020 0.3006 0.7010 1
Na6 Na 0.7020 0.6994 0.7010 1
Na7 Na 0.7980 0.1994 0.2990 1
Na8 Na 0.7980 0.8006 0.2990 1
Tl1 Tl 0.0038 0.5000 0.7520 1
Tl2 Tl 0.4962 0.0000 0.2480 1
Tl3 Tl 0.5038 0.0000 0.7520 1
Tl4 Tl 0.9962 0.5000 0.2480 1